DFT (PBE) results for a relaxed structure of Lu2PaRh.

Properties
Energy above the lowest structure with this stoichiometry, eV per atom: 0.000

```
data_Lu2PaRh
_cell_length_a 3.314
_cell_length_b 3.314
_cell_length_c 8.340
_cell_angle_alpha 90.00
_cell_angle_beta 90.00
_cell_angle_gamma 90.00
_symmetry_space_group_name_H-M 'P 4/m m m'
_symmetry_Int_Tables_number 123
_symmetry_space_group_name_Hall '-P 4 2'
loop_
_atom_site_label
_atom_site_type_symbol
_atom_site_fract_x
_atom_site_fract_y
_atom_site_fract_z
_atom_site_occupancy
Lu1 Lu 0.000 0.000 0.202 1
Pa1 Pa 0.500 0.500 0.500 1
Rh1 Rh 0.500 0.500 0.000 1
```